DFT (GGA-PBEsol) results for an optimized crystal structure of PdRuSe2N.

Geometry as POSCAR:
```
PdRuSe2N
1.0
3.525 0.000 0.000
0.000 4.957 0.000
0.000 0.000 4.957
Ru Se Pd N
1 2 1 1
Direct
0.500 0.500 0.500
0.000 0.000 0.500
0.000 0.500 0.000
0.000 0.000 0.000
0.500 0.000 0.000
```

Formation energy from raw total energies: 1.16 eV per atom
V: 86.6 Å³/cell
Magnetization: 0.0 μB per cell

DFT (GGA-PBEsol) results for an optimized crystal structure of SiPd2RuN.

Geometry as POSCAR:
```
SiPd2RuN
1.0
-3.234 0.950 1.840
-2.182 -1.415 -3.104
-0.090 -3.660 1.732
Ru Si Pd N
1 1 2 1
Direct
0.500 0.500 0.500
0.500 0.000 0.000
0.000 0.000 0.500
0.000 0.500 0.000
0.000 0.000 0.000
```

Formation energy from raw total energies: 0.37 eV per atom
V: 63.0 Å³/cell
Magnetization: 0.0 μB per cell

DFT (GGA-PBEsol) results for an optimized crystal structure of SbPdSN2.

Geometry as POSCAR:
```
SbPdSN2
1.0
3.954 0.000 0.000
0.000 3.954 0.000
0.000 0.000 4.796
Sb S Pd N
1 1 1 2
Direct
0.500 0.500 0.500
0.000 0.000 0.500
0.000 0.000 0.000
0.000 0.500 0.000
0.500 0.000 0.000
```

Formation energy from raw total energies: 1.14 eV per atom
V: 75.0 Å³/cell
Magnetization: 2.1 μB per cell